Model w:
## SrLaSb2Te (PBE-GGA)

Data for crystalline SrLaSb2Te at its relaxed geometry. Values from VASP.

Quantum ESPRESSO input file:
```
&SYSTEM
  ibrav = 0, nat = 5, ntyp = 4
/
ATOMIC_SPECIES
Sb 121.76 Sb.upf
Te 127.60 Te.upf
Sr 87.62 Sr.upf
La 138.91 La.upf
ATOMIC_POSITIONS crystal
Sb 0.000 0.500 0.000
Sb 0.500 0.000 0.000
Te 0.000 0.000 0.500
Sr 0.500 0.500 0.500
La 0.000 0.000 0.000
CELL_PARAMETERS angstrom
6.003 0.000 0.000
0.000 6.003 0.000
0.000 0.000 6.080
```

## Properties
The calculation puts the calculated volume at 219.1 Å³ per cell.

***

Model x:
## SrLaSb2Te (PBE-GGA)

Data for crystalline SrLaSb2Te at its relaxed geometry. Values from VASP.

Quantum ESPRESSO input file:
```
&SYSTEM
  ibrav = 0, nat = 5, ntyp = 4
/
ATOMIC_SPECIES
Sb 121.76 Sb.upf
Te 127.60 Te.upf
Sr 87.62 Sr.upf
La 138.91 La.upf
ATOMIC_POSITIONS crystal
Sb 0.000 0.500 0.000
Sb 0.500 0.000 0.000
Te 0.000 0.000 0.500
Sr 0.000 0.000 0.000
La 0.500 0.500 0.500
CELL_PARAMETERS angstrom
-1.441 -4.381 -3.531
-0.810 -3.446 4.606
-5.684 1.669 0.249
```

## Properties
The calculation puts the calculated volume at 200.1 Å³ per cell.

***

Short version: model w, model x, most stable first.

***

Model w:
## La2Ta2Sb (PBE-GGA)

Data for crystalline La2Ta2Sb at its relaxed geometry. Values from VASP.

Quantum ESPRESSO input file:
```
&SYSTEM
  ibrav = 0, nat = 10, ntyp = 3
/
ATOMIC_SPECIES
Sb 121.76 Sb.upf
La 138.91 La.upf
Ta 180.95 Ta.upf
ATOMIC_POSITIONS crystal
Sb 0.000 0.000 0.000
Sb 0.500 0.500 0.000
La 0.368 0.868 0.000
La 0.868 0.632 0.000
La 0.632 0.132 0.000
La 0.132 0.368 0.000
Ta 0.182 0.682 0.500
Ta 0.682 0.818 0.500
Ta 0.818 0.318 0.500
Ta 0.318 0.182 0.500
CELL_PARAMETERS angstrom
-7.926 -1.983 0.122
0.792 -2.695 7.673
-0.883 3.614 1.361
```

## Properties
The calculation puts the calculated volume at 264.4 Å³ per cell.

***

Model x:
## La2Ta2Sb (PBE-GGA)

Data for crystalline La2Ta2Sb at its relaxed geometry. Values from VASP.

Quantum ESPRESSO input file:
```
&SYSTEM
  ibrav = 0, nat = 5, ntyp = 3
/
ATOMIC_SPECIES
Sb 121.76 Sb.upf
La 138.91 La.upf
Ta 180.95 Ta.upf
ATOMIC_POSITIONS crystal
Sb 0.000 0.000 0.000
La 0.396 0.396 0.209
La 0.604 0.604 0.791
Ta 0.750 0.250 0.500
Ta 0.250 0.750 0.500
CELL_PARAMETERS angstrom
3.837 0.000 0.000
0.000 3.837 0.000
1.919 1.919 9.796
```

## Properties
The calculation puts the calculated volume at 144.2 Å³ per cell.

***

Short version: model x, model w, most stable first.

***

Model w:
## LaTaSb2Te (PBE-GGA)

Data for crystalline LaTaSb2Te at its relaxed geometry. Values from VASP.

Quantum ESPRESSO input file:
```
&SYSTEM
  ibrav = 0, nat = 5, ntyp = 4
/
ATOMIC_SPECIES
Sb 121.76 Sb.upf
La 138.91 La.upf
Te 127.60 Te.upf
Ta 180.95 Ta.upf
ATOMIC_POSITIONS crystal
Sb 0.000 0.500 0.000
Sb 0.500 0.000 0.000
La 0.500 0.500 0.500
Te 0.000 0.000 0.500
Ta 0.000 0.000 0.000
CELL_PARAMETERS angstrom
5.323 0.000 0.000
0.000 5.323 0.000
0.000 0.000 5.572
```

## Properties
The calculation puts the calculated volume at 157.9 Å³ per cell.

***

Model x:
## LaTaSb2Te (PBE-GGA)

Data for crystalline LaTaSb2Te at its relaxed geometry. Values from VASP.

Quantum ESPRESSO input file:
```
&SYSTEM
  ibrav = 0, nat = 5, ntyp = 4
/
ATOMIC_SPECIES
Sb 121.76 Sb.upf
La 138.91 La.upf
Te 127.60 Te.upf
Ta 180.95 Ta.upf
ATOMIC_POSITIONS crystal
Sb 0.000 0.500 0.000
Sb 0.500 0.000 0.000
La 0.000 0.000 0.000
Te 0.000 0.000 0.500
Ta 0.500 0.500 0.500
CELL_PARAMETERS angstrom
5.921 0.000 0.000
0.000 5.921 0.000
0.000 0.000 5.928
```

## Properties
The calculation puts the calculated volume at 207.8 Å³ per cell.

***

Short version: model w, model x, most stable first.

***

Model w:
## La3TbSb2 (PBE-GGA)

Data for crystalline La3TbSb2 at its relaxed geometry. Values from VASP.

Quantum ESPRESSO input file:
```
&SYSTEM
  ibrav = 0, nat = 12, ntyp = 3
/
ATOMIC_SPECIES
La 138.91 La.upf
Tb 158.93 Tb.upf
Sb 121.76 Sb.upf
ATOMIC_POSITIONS crystal
La 0.429 0.677 0.355
La 0.571 0.323 0.645
La 0.074 0.823 0.645
La 0.926 0.177 0.355
La 0.500 0.750 0.000
La 0.500 0.250 0.000
Tb 0.000 0.250 0.000
Tb 0.000 0.750 0.000
Sb 0.380 0.137 0.274
Sb 0.620 0.863 0.726
Sb 0.107 0.363 0.726
Sb 0.893 0.637 0.274
CELL_PARAMETERS angstrom
6.587 0.000 0.000
0.000 6.554 0.000
-3.293 -3.277 8.975
```

## Properties
The calculation puts the calculated volume at 387.4 Å³ per cell.

***

Model x:
## La3TbSb2 (PBE-GGA)

Data for crystalline La3TbSb2 at its relaxed geometry. Values from VASP.

Quantum ESPRESSO input file:
```
&SYSTEM
  ibrav = 0, nat = 6, ntyp = 3
/
ATOMIC_SPECIES
La 138.91 La.upf
Tb 158.93 Tb.upf
Sb 121.76 Sb.upf
ATOMIC_POSITIONS crystal
La 0.500 0.000 0.355
La 0.000 0.500 0.645
La 0.000 0.000 0.000
Tb 0.500 0.500 0.000
Sb 0.500 0.000 0.726
Sb 0.000 0.500 0.274
CELL_PARAMETERS angstrom
4.653 0.000 0.000
0.000 4.653 0.000
0.000 0.000 8.976
```

## Properties
The calculation puts the calculated volume at 194.3 Å³ per cell.

***

Short version: model w, model x, most stable first.

***

Model w:
## LaTcSb (PBE-GGA)

Data for crystalline LaTcSb at its relaxed geometry. Values from VASP.

Quantum ESPRESSO input file:
```
&SYSTEM
  ibrav = 0, nat = 3, ntyp = 3
/
ATOMIC_SPECIES
La 138.91 La.upf
Sb 121.76 Sb.upf
Tc 98.00 Tc.upf
ATOMIC_POSITIONS crystal
La 0.000 0.000 0.000
Sb 0.667 0.333 0.500
Tc 0.333 0.667 0.500
CELL_PARAMETERS angstrom
4.641 0.000 0.000
-2.320 4.019 0.000
0.000 0.000 4.032
```

## Properties
The calculation puts the calculated volume at 75.2 Å³ per cell.

***

Model x:
## LaTcSb (PBE-GGA)

Data for crystalline LaTcSb at its relaxed geometry. Values from VASP.

Quantum ESPRESSO input file:
```
&SYSTEM
  ibrav = 0, nat = 3, ntyp = 3
/
ATOMIC_SPECIES
La 138.91 La.upf
Sb 121.76 Sb.upf
Tc 98.00 Tc.upf
ATOMIC_POSITIONS crystal
La 0.250 0.250 0.250
Sb 0.000 0.000 0.000
Tc 0.500 0.500 0.500
CELL_PARAMETERS angstrom
-4.168 2.711 -0.662
-3.460 0.207 3.626
-0.669 4.244 2.588
```

## Properties
The calculation puts the calculated volume at 89.2 Å³ per cell.

***

Model y:
## LaTcSb (PBE-GGA)

Data for crystalline LaTcSb at its relaxed geometry. Values from VASP.

Quantum ESPRESSO input file:
```
&SYSTEM
  ibrav = 0, nat = 3, ntyp = 3
/
ATOMIC_SPECIES
La 138.91 La.upf
Sb 121.76 Sb.upf
Tc 98.00 Tc.upf
ATOMIC_POSITIONS crystal
La 0.000 0.000 0.000
Sb 0.500 0.500 0.500
Tc 0.250 0.250 0.250
CELL_PARAMETERS angstrom
4.758 0.000 0.000
2.379 4.120 0.000
2.379 1.373 3.885
```

## Properties
The calculation puts the calculated volume at 76.2 Å³ per cell.

***

Short version: model w, model y, model x, most stable first.

***

Model w:
## LaTc2Sb2 (PBE-GGA)

Data for crystalline LaTc2Sb2 at its relaxed geometry. Values from VASP.

Quantum ESPRESSO input file:
```
&SYSTEM
  ibrav = 0, nat = 5, ntyp = 3
/
ATOMIC_SPECIES
Sb 121.76 Sb.upf
Tc 98.00 Tc.upf
La 138.91 La.upf
ATOMIC_POSITIONS crystal
Sb 0.750 0.250 0.500
Sb 0.250 0.750 0.500
Tc 0.380 0.380 0.239
Tc 0.620 0.620 0.761
La 0.000 0.000 0.000
CELL_PARAMETERS angstrom
-3.204 -0.753 3.622
1.575 -4.614 0.434
2.438 -1.275 5.197
```

## Properties
The calculation puts the calculated volume at 113.9 Å³ per cell.

***

Model x:
## LaTc2Sb2 (PBE-GGA)

Data for crystalline LaTc2Sb2 at its relaxed geometry. Values from VASP.

Quantum ESPRESSO input file:
```
&SYSTEM
  ibrav = 0, nat = 5, ntyp = 3
/
ATOMIC_SPECIES
Sb 121.76 Sb.upf
Tc 98.00 Tc.upf
La 138.91 La.upf
ATOMIC_POSITIONS crystal
Sb 0.364 0.364 0.272
Sb 0.636 0.636 0.728
Tc 0.750 0.250 0.500
Tc 0.250 0.750 0.500
La 0.000 0.000 0.000
CELL_PARAMETERS angstrom
4.590 0.000 0.000
0.000 4.590 0.000
2.295 2.295 5.443
```

## Properties
The calculation puts the calculated volume at 114.7 Å³ per cell.

***

Short version: model w, model x, most stable first.